Record 1
# Rb3ZrRu

A PBEsol-optimized structure of Rb3ZrRu (SCAN, Alexandria).

Cell lengths 6.5109, 6.5109, 6.5109 Å; angles 90.00, 90.00, 90.00 degrees
Closest atoms and distances in Å follow each position.
Fractional positions:
Ru 0.5000 0.5000 0.5000  12 Rb 4.60
Rb 0.0000 0.5000 0.0000  2 Zr 3.26
Rb 0.0000 0.0000 0.5000  2 Zr 3.26
Rb 0.5000 0.0000 0.0000  2 Zr 3.26
Zr 0.0000 0.0000 0.0000  6 Rb 3.26

## Properties
space-group type	Pm-3m
raw total energy	-23.544	eV per atom
crystal system	cubic
formation enthalpy at 0 K	2005	meV per atom

Record 2
# ZrTc2Rh

A PBEsol-optimized structure of ZrTc2Rh (SCAN, Alexandria).

Cell lengths 2.7211, 5.0574, 5.2363 Å; angles 115.83, 99.92, 100.46 degrees
Closest atoms and distances in Å follow each position.
Fractional positions:
Rh 0.0000 0.5000 0.0000  2 Zr 2.65, 2 Rh 2.72, 4 Tc 2.73
Tc 0.0000 0.0000 0.5000  4 Tc 2.65-2.72, 2 Zr 2.73, 2 Rh 2.73
Tc 0.5000 0.5000 0.5000  4 Tc 2.65-2.72, 2 Rh 2.73, 2 Zr 2.73
Zr 0.5000 0.0000 0.0000  2 Rh 2.65, 2 Zr 2.72, 4 Tc 2.73

## Properties
space-group type	C2/m
raw total energy	-33.751	eV per atom
crystal system	monoclinic
polymorph energy (0 for the lowest one)	124	meV/atom
formation enthalpy at 0 K	-103	meV per atom

Record 3
# La4Ni3Sn8

A PBEsol-optimized structure of La4Ni3Sn8 (SCAN, Alexandria).

Cell lengths 4.4901, 4.5059, 17.7628 Å; angles 90.00, 90.00, 90.00 degrees
Closest atoms and distances in Å follow each position.
Fractional positions:
La 0.5000 0.0000 0.6076  10 Sn 3.33-3.51, 4 Ni 3.51
La 0.0000 0.0000 0.1055  10 Sn 3.38-3.73, 5 Ni 3.45-3.76
La 0.0000 0.5000 0.8925  10 Sn 3.28-3.47, 1 Ni 3.58
La 0.5000 0.5000 0.3919  10 Sn 3.37-3.62, 5 Ni 3.45-3.75
Ni 0.0000 0.0000 0.3171  5 Sn 2.46-2.56
Ni 0.0000 0.5000 0.6909  5 Sn 2.47-2.54
Ni 0.5000 0.5000 0.1807  5 Sn 2.47-2.55
Sn 0.5000 0.0000 0.9377  2 Sn 2.91
Sn 0.0000 0.0000 0.4553  1 Ni 2.46
Sn 0.0000 0.5000 0.5520  1 Ni 2.47
Sn 0.5000 0.5000 0.0417  1 Ni 2.47
Sn 0.0000 0.0000 0.7572  2 Ni 2.54
Sn 0.5000 0.0000 0.2483  4 Ni 2.55-2.56
Sn 0.5000 0.5000 0.7581  2 Ni 2.54
Sn 0.0000 0.5000 0.2487  4 Ni 2.55-2.56

## Properties
space-group type	Pmm2
raw total energy	-34.636	eV per atom
crystal system	orthorhombic
formation enthalpy at 0 K	-749	meV per atom

Record 4
# KSbTe2

A PBEsol-optimized structure of KSbTe2 (SCAN, Alexandria).

Cell lengths 4.3479, 4.9985, 7.0270 Å; angles 94.13, 108.02, 90.00 degrees
Closest atoms and distances in Å follow each position.
Fractional positions:
Sb 0.7751 0.0567 0.5502  3 Te 2.70-2.95
K 0.5096 0.6441 0.0192  5 Te 3.34-3.63
Te 0.9770 0.1372 0.9541  1 Sb 2.70
Te 0.2383 0.6619 0.4766  2 Sb 2.95

## Properties
space-group type	Cm
raw total energy	-30.521	eV per atom
formation energy without anion corrections	-192	kJ/mol of formula units
crystal system	monoclinic

Record 5
# CaHg2H

A PBEsol-optimized structure of CaHg2H (SCAN, Alexandria).

Cell lengths 4.9291, 4.9291, 4.9291 Å; angles 60.00, 60.00, 60.00 degrees
Closest atoms and distances in Å follow each position.
Fractional positions:
H 0.0000 0.0000 0.0000  8 Hg 3.02
Ca 0.5000 0.5000 0.5000  8 Hg 3.02
Hg 0.2500 0.2500 0.2500  4 Ca 3.02, 4 H 3.02
Hg 0.7500 0.7500 0.7500  4 H 3.02, 4 Ca 3.02

## Properties
space-group type	Fm-3m
raw total energy	-37.284	eV per atom
crystal system	cubic

Record 6
# CaMn2Ru

A PBEsol-optimized structure of CaMn2Ru (SCAN, Alexandria).

Cell lengths 2.9884, 4.7463, 5.4994 Å; angles 115.56, 105.77, 90.00 degrees
Closest atoms and distances in Å follow each position.
Fractional positions:
Ca 0.0000 0.5000 0.0000  4 Ru 2.80, 2 Ca 2.99, 8 Mn 3.08-3.12
Mn 0.7852 0.7852 0.5705  2 Ru 2.52
Mn 0.2148 0.2148 0.4295  2 Ru 2.52
Ru 0.5000 0.0000 0.0000  4 Mn 2.52, 4 Ca 2.80

## Properties
space-group type	Immm
raw total energy	-20.011	eV per atom
crystal system	orthorhombic
polymorph energy (0 for the lowest one)	156	meV/atom
formation enthalpy at 0 K	239	meV per atom

Record 7
# NaY9Si6O26

A PBEsol-optimized structure of NaY9Si6O26 (SCAN, Alexandria).

Cell lengths 6.7530, 9.3022, 9.3022 Å; angles 120.00, 90.00, 90.00 degrees
Closest atoms and distances in Å follow each position.
Fractional positions:
Na 0.5052 0.0000 0.0000  6 O 2.39-2.50
Y 0.2510 0.0984 0.6648  6 O 2.18-2.40
Y 0.2510 0.5664 0.9016  6 O 2.18-2.40
Y 0.2510 0.3352 0.4336  6 O 2.18-2.40
Y 0.7487 0.5726 0.6720  6 O 2.20-2.42
Y 0.7487 0.0995 0.4274  6 O 2.20-2.42
Y 0.7487 0.3280 0.9005  6 O 2.20-2.42
Y 0.0023 0.6667 0.3333  6 O 2.29-2.39
Y 0.4999 0.6667 0.3333  6 O 2.28-2.38
Y 0.9985 0.0000 0.0000  6 O 2.29-2.35
Si 0.2500 0.9612 0.2649  4 O 1.62-1.64
Si 0.2500 0.3037 0.0388  4 O 1.62-1.64
Si 0.2500 0.7351 0.6963  4 O 1.62-1.64
Si 0.7535 0.7038 0.0640  4 O 1.60-1.65
Si 0.7535 0.3601 0.2962  4 O 1.60-1.65
Si 0.7535 0.9360 0.6399  4 O 1.60-1.65
O 0.0584 0.0864 0.3314  1 Si 1.64
O 0.0584 0.2450 0.9136  1 Si 1.64
O 0.0584 0.6686 0.7550  1 Si 1.64
O 0.5584 0.5824 0.0107  1 Si 1.64
O 0.5584 0.4283 0.4176  1 Si 1.64
O 0.5584 0.9893 0.5717  1 Si 1.64
O 0.9447 0.5781 0.0145  1 Si 1.65
O 0.9447 0.4364 0.4219  1 Si 1.65
O 0.9447 0.9855 0.5636  1 Si 1.65
O 0.4363 0.0897 0.3416  1 Si 1.63
O 0.4363 0.2519 0.9103  1 Si 1.63
O 0.4363 0.6584 0.7481  1 Si 1.63
O 0.7498 0.8059 0.2688  1 Si 1.65
O 0.7498 0.4628 0.1941  1 Si 1.65
O 0.7498 0.7312 0.5372  1 Si 1.65
O 0.2360 0.8553 0.0638  1 Si 1.62
O 0.2360 0.2084 0.1447  1 Si 1.62
O 0.2360 0.9362 0.7916  1 Si 1.62
O 0.2415 0.3333 0.6667  3 Y 2.18
O 0.7484 0.3333 0.6667  3 Y 2.20
O 0.2521 0.8376 0.3427  1 Si 1.64
O 0.2521 0.5052 0.1624  1 Si 1.64
O 0.2521 0.6573 0.4948  1 Si 1.64
O 0.7623 0.8122 0.9739  1 Si 1.60
O 0.7623 0.1616 0.1878  1 Si 1.60
O 0.7623 0.0261 0.8384  1 Si 1.60

## Properties
space-group type	P3
raw total energy	-14.945	eV per atom
formation energy without anion corrections	-14549	kJ/mol of formula units
crystal system	trigonal

Record 8
# YZnFe2

A PBEsol-optimized structure of YZnFe2 (SCAN, Alexandria).

Cell lengths 3.0569, 3.0569, 6.6337 Å; angles 90.00, 90.00, 90.00 degrees
Closest atoms and distances in Å follow each position.
Fractional positions:
Fe 0.5000 0.5000 0.0212  4 Fe 2.43, 4 Zn 2.58
Fe 0.0000 0.0000 0.1899  4 Fe 2.43, 1 Zn 2.53
Y 0.5000 0.5000 0.4802  5 Fe 2.90-3.05, 4 Y 3.06, 4 Zn 3.07
Zn 0.0000 0.0000 0.8087  5 Fe 2.53-2.58

## Properties
space-group type	P4mm
raw total energy	-19.389	eV per atom
crystal system	tetragonal
formation enthalpy at 0 K	15	meV per atom

Calculated values (states/eV/atom) of N(E_F) for the records, taken in order: 2.31 1.03 0.46 0.02 0.47 0.98 0.00 0.72.
Calculated values (Å³ per atom) of V for the records, taken in order: 55.20 15.29 23.96 36.20 21.17 16.77 12.05 15.50.